P | Density functional theory data (PBE-GGA) for crystalline KSeF6 at its relaxed geometry.

Cell and atoms, written as POSCAR:
```
KSeF6
1.0
5.482 0.000 0.000
2.741 4.748 0.000
2.741 1.583 5.085
K Se F
1 1 6
direct
0.500 0.500 0.500 K
0.000 0.000 0.000 Se
0.912 0.912 0.788 F
0.388 0.912 0.788 F
0.088 0.612 0.212 F
0.612 0.088 0.212 F
0.088 0.088 0.212 F
0.912 0.388 0.788 F
```

* calculated density: 2.9 Mg/m³
* space-group type: No. 166

---

Q | Density functional theory data (PBE-GGA) for crystalline KSeF6 at its relaxed geometry.

Cell and atoms, written as POSCAR:
```
KSeF6
1.0
5.038 0.065 -0.714
-0.924 4.910 -0.999
0.000 0.207 5.091
K Se F
1 1 6
direct
0.500 0.500 0.500 K
0.000 0.000 0.000 Se
0.082 0.740 0.740 F
0.741 0.739 0.074 F
0.259 0.261 0.926 F
0.918 0.260 0.260 F
0.259 0.926 0.261 F
0.741 0.074 0.739 F
```

* calculated density: 3.0 Mg/m³
* space-group type: No. 12

---

Stability ranking, top entry: Q; the second entry is 0.017 eV/atom less favorable.

---

P | Density functional theory data (PBE-GGA) for crystalline K2SeF at its relaxed geometry.

Cell and atoms, written as POSCAR:
```
K2SeF
1.0
-7.143 0.890 -2.436
-1.988 -6.462 3.469
-5.517 -0.558 4.120
K Se F
4 2 2
direct
0.541 0.125 0.250 K
0.209 0.625 0.250 K
0.375 0.459 0.750 K
0.875 0.791 0.750 K
0.000 0.000 0.000 Se
0.750 0.250 0.500 Se
0.500 0.500 0.000 F
0.250 0.750 0.500 F
```

* calculated density: 2.3 Mg/m³
* space-group type: No. 122

---

Q | Density functional theory data (PBE-GGA) for crystalline K2SeF at its relaxed geometry.

Cell and atoms, written as POSCAR:
```
K2SeF
1.0
-1.609 -0.454 2.926
-2.856 -0.642 -1.670
1.848 -7.743 -0.184
K Se F
2 1 1
direct
0.000 0.000 0.799 K
0.000 0.000 0.201 K
0.500 0.500 0.500 Se
0.500 0.500 0.000 F
```

* calculated density: 3.2 Mg/m³
* space-group type: No. 123

---

Stability ranking, top entry: Q; the second entry is 0.098 eV/atom less favorable.

---

P | Density functional theory data (PBE-GGA) for crystalline K2SeF6 at its relaxed geometry.

Cell and atoms, written as POSCAR:
```
K2SeF6
1.0
4.767 -0.022 -0.013
0.027 5.915 0.006
0.027 2.952 5.125
K Se F
2 1 6
direct
0.708 0.667 0.667 K
0.292 0.333 0.333 K
0.000 0.000 0.000 Se
0.225 0.322 0.839 F
0.225 0.839 0.839 F
0.225 0.839 0.322 F
0.775 0.678 0.161 F
0.775 0.161 0.161 F
0.775 0.161 0.678 F
```

* calculated density: 3.1 Mg/m³
* space-group type: No. 164

---

Q | Density functional theory data (PBE-GGA) for crystalline K2SeF6 at its relaxed geometry.

Cell and atoms, written as POSCAR:
```
K2SeF6
1.0
5.234 0.000 3.022
1.745 4.934 3.022
0.000 0.000 6.043
K Se F
2 1 6
direct
0.250 0.250 0.250 K
0.750 0.750 0.750 K
0.000 0.000 0.000 Se
0.230 0.770 0.770 F
0.230 0.770 0.230 F
0.770 0.230 0.770 F
0.770 0.230 0.230 F
0.770 0.770 0.230 F
0.230 0.230 0.770 F
```

* calculated density: 2.9 Mg/m³
* space-group type: No. 225

---

Stability ranking, top entry: P; the second entry is 0.012 eV/atom less favorable.

---

P | Density functional theory data (PBE-GGA) for crystalline KZrSe2F at its relaxed geometry.

Cell and atoms, written as POSCAR:
```
KZrSe2F
1.0
-1.587 2.643 4.353
-4.994 0.081 -1.871
-0.800 -3.732 1.975
K Se Zr F
1 2 1 1
direct
0.500 0.500 0.500 K
0.000 0.500 0.000 Se
0.500 0.000 0.000 Se
0.000 0.000 0.000 Zr
0.000 0.000 0.500 F
```

* calculated density: 4.2 Mg/m³
* space-group type: No. 123

---

Q | Density functional theory data (PBE-GGA) for crystalline KZrSe2F at its relaxed geometry.

Cell and atoms, written as POSCAR:
```
KZrSe2F
1.0
-1.543 3.501 -0.695
-7.093 -2.756 1.860
3.863 3.214 7.620
K Zr Se F
2 2 4 2
direct
0.250 0.686 0.302 K
0.750 0.314 0.698 K
0.250 0.827 0.821 Zr
0.750 0.173 0.179 Zr
0.750 0.854 0.631 Se
0.750 0.808 0.032 Se
0.250 0.146 0.369 Se
0.250 0.192 0.968 Se
0.250 0.553 0.752 F
0.750 0.447 0.248 F
```

* calculated density: 3.9 Mg/m³
* space-group type: No. 11

---

Stability ranking, top entry: Q; the second entry is 0.113 eV/atom less favorable.

---

P | Density functional theory data (PBE-GGA) for crystalline KSi3F at its relaxed geometry.

Cell and atoms, written as POSCAR:
```
KSi3F
1.0
-5.319 0.098 2.015
1.968 -1.006 5.242
0.446 5.598 0.906
K Si F
1 3 1
direct
0.000 0.000 0.000 K
0.000 0.500 0.000 Si
0.000 0.000 0.500 Si
0.500 0.000 0.000 Si
0.500 0.500 0.500 F
```

* calculated density: 1.3 Mg/m³
* space-group type: No. 221

---

Q | Density functional theory data (PBE-GGA) for crystalline KSi3F at its relaxed geometry.

Cell and atoms, written as POSCAR:
```
KSi3F
1.0
-0.594 -4.484 -1.243
4.236 -1.039 1.724
-1.924 -0.904 4.181
K Si F
1 3 1
direct
0.500 0.500 0.500 K
0.000 0.500 0.000 Si
0.000 0.000 0.500 Si
0.500 0.000 0.000 Si
0.000 0.000 0.000 F
```

* calculated density: 2.3 Mg/m³
* space-group type: No. 221

---

Stability ranking, top entry: Q; the second entry is 1.472 eV/atom less favorable.

---

P | Density functional theory data (PBE-GGA) for crystalline KSiF2 at its relaxed geometry.

Cell and atoms, written as POSCAR:
```
KSiF2
1.0
3.674 4.388 4.708
5.435 4.689 1.841
2.640 6.529 2.307
K Si F
1 1 2
direct
0.500 0.500 0.500 K
0.000 0.000 0.000 Si
0.910 0.910 0.910 F
0.090 0.090 0.090 F
```

* calculated density: 2.5 Mg/m³
* space-group type: No. 166

---

Q | Density functional theory data (PBE-GGA) for crystalline KSiF2 at its relaxed geometry.

Cell and atoms, written as POSCAR:
```
KSiF2
1.0
5.087 0.000 0.000
0.000 5.087 0.000
2.543 2.543 6.653
K Si F
2 2 4
direct
0.000 0.000 0.000 K
0.750 0.250 0.500 K
0.500 0.500 0.000 Si
0.250 0.750 0.500 Si
0.537 0.125 0.250 F
0.213 0.625 0.250 F
0.375 0.463 0.750 F
0.875 0.787 0.750 F
```

* calculated density: 2.0 Mg/m³
* space-group type: No. 122

---

Stability ranking, top entry: P; the second entry is 0.459 eV/atom less favorable.

---

P | Density functional theory data (PBE-GGA) for crystalline KSi2F2 at its relaxed geometry.

Cell and atoms, written as POSCAR:
```
KSi2F2
1.0
-2.054 -1.599 -2.226
-0.855 -2.269 2.419
-6.918 2.277 2.114
K Si F
1 2 2
direct
0.000 0.000 0.000 K
0.750 0.250 0.500 Si
0.250 0.750 0.500 Si
0.396 0.396 0.208 F
0.604 0.604 0.792 F
```

* calculated density: 2.6 Mg/m³
* space-group type: No. 139

---

Q | Density functional theory data (PBE-GGA) for crystalline KSi2F2 at its relaxed geometry.

Cell and atoms, written as POSCAR:
```
KSi2F2
1.0
8.122 0.000 0.000
0.000 8.122 0.000
0.000 0.000 3.171
K Si F
2 4 4
direct
0.000 0.000 0.000 K
0.500 0.500 0.000 K
0.097 0.597 0.500 Si
0.597 0.903 0.500 Si
0.903 0.403 0.500 Si
0.403 0.097 0.500 Si
0.223 0.723 0.000 F
0.723 0.777 0.000 F
0.777 0.277 0.000 F
0.277 0.223 0.000 F
```

* calculated density: 2.1 Mg/m³
* space-group type: No. 127

---

Stability ranking, top entry: P; the second entry is 0.454 eV/atom less favorable.

---

P | Density functional theory data (PBE-GGA) for crystalline KSi2F at its relaxed geometry.

Cell and atoms, written as POSCAR:
```
KSi2F
1.0
0.000 3.491 3.491
3.491 0.000 3.491
3.491 3.491 0.000
K Si F
1 2 1
direct
0.500 0.500 0.500 K
0.250 0.250 0.250 Si
0.750 0.750 0.750 Si
0.000 0.000 0.000 F
```

* calculated density: 2.2 Mg/m³
* space-group type: No. 225

---

Q | Density functional theory data (PBE-GGA) for crystalline KSi2F at its relaxed geometry.

Cell and atoms, written as POSCAR:
```
KSi2F
1.0
-3.365 -0.238 0.862
-0.233 -3.006 -1.740
1.750 -8.770 11.432
K Si F
2 4 2
direct
0.000 0.000 0.000 K
0.750 0.250 0.500 K
0.122 0.125 0.250 Si
0.628 0.625 0.250 Si
0.375 0.878 0.750 Si
0.875 0.372 0.750 Si
0.500 0.500 0.000 F
0.250 0.750 0.500 F
```

* calculated density: 2.2 Mg/m³
* space-group type: No. 122

---

Stability ranking, top entry: Q; the second entry is 1.391 eV/atom less favorable.

---

P | Density functional theory data (PBE-GGA) for crystalline KSnF2 at its relaxed geometry.

Cell and atoms, written as POSCAR:
```
KSnF2
1.0
6.733 0.000 0.000
0.000 6.733 0.000
3.366 3.366 3.987
K Sn F
2 2 4
direct
0.500 0.500 0.000 K
0.250 0.750 0.500 K
0.000 0.000 0.000 Sn
0.750 0.250 0.500 Sn
0.637 0.125 0.250 F
0.113 0.625 0.250 F
0.375 0.363 0.750 F
0.875 0.887 0.750 F
```

* calculated density: 3.6 Mg/m³
* space-group type: No. 122

---

Q | Density functional theory data (PBE-GGA) for crystalline KSnF2 at its relaxed geometry.

Cell and atoms, written as POSCAR:
```
KSnF2
1.0
2.071 0.000 7.641
-1.036 1.794 7.641
-1.036 -1.794 7.641
K Sn F
1 1 2
direct
0.500 0.500 0.500 K
0.000 0.000 0.000 Sn
0.902 0.902 0.902 F
0.098 0.098 0.098 F
```

* calculated density: 3.8 Mg/m³
* space-group type: No. 166

---

Stability ranking, top entry: Q; the second entry is 0.341 eV/atom less favorable.

---

P | Density functional theory data (PBE-GGA) for crystalline K2SnF at its relaxed geometry.

Cell and atoms, written as POSCAR:
```
K2SnF
1.0
4.677 -0.998 3.351
3.261 4.469 1.868
-0.073 1.511 5.640
K Sn F
2 1 1
direct
0.250 0.250 0.250 K
0.750 0.750 0.750 K
0.500 0.500 0.500 Sn
0.000 0.000 0.000 F
```

* calculated density: 2.5 Mg/m³
* space-group type: No. 225

---

Q | Density functional theory data (PBE-GGA) for crystalline K2SnF at its relaxed geometry.

Cell and atoms, written as POSCAR:
```
K2SnF
1.0
7.726 0.000 0.000
0.000 7.726 0.000
3.863 3.863 4.700
K Sn F
4 2 2
direct
0.505 0.125 0.250 K
0.245 0.625 0.250 K
0.375 0.495 0.750 K
0.875 0.755 0.750 K
0.000 0.000 0.000 Sn
0.750 0.250 0.500 Sn
0.500 0.500 0.000 F
0.250 0.750 0.500 F
```

* calculated density: 2.6 Mg/m³
* space-group type: No. 122

---

R | Density functional theory data (PBE-GGA) for crystalline K2SnF at its relaxed geometry.

Cell and atoms, written as POSCAR:
```
K2SnF
1.0
3.674 0.000 0.000
1.837 3.182 0.000
1.837 1.061 10.081
K Sn F
2 1 1
direct
0.113 0.113 0.662 K
0.887 0.887 0.338 K
0.000 0.000 0.000 Sn
0.500 0.500 0.500 F
```

* calculated density: 3.0 Mg/m³
* space-group type: No. 166

---

Stability ranking, top entry: R; the second entry is 0.056 eV/atom less favorable.

---

P | Density functional theory data (PBE-GGA) for crystalline K2SnF2 at its relaxed geometry.

Cell and atoms, written as POSCAR:
```
K2SnF2
1.0
8.766 0.000 0.000
0.000 8.766 0.000
0.000 0.000 3.137
K Sn F
4 2 4
direct
0.377 0.877 0.000 K
0.877 0.623 0.000 K
0.623 0.123 0.000 K
0.123 0.377 0.000 K
0.000 0.000 0.000 Sn
0.500 0.500 0.000 Sn
0.124 0.624 0.500 F
0.624 0.876 0.500 F
0.876 0.376 0.500 F
0.376 0.124 0.500 F
```

* calculated density: 3.2 Mg/m³
* space-group type: No. 127

---

Q | Density functional theory data (PBE-GGA) for crystalline K2SnF2 at its relaxed geometry.

Cell and atoms, written as POSCAR:
```
K2SnF2
1.0
-1.394 3.632 2.490
-4.351 -0.733 -1.365
-3.825 -2.427 5.682
K Sn F
2 1 2
direct
0.328 0.328 0.344 K
0.672 0.672 0.656 K
0.000 0.000 0.000 Sn
0.750 0.250 0.500 F
0.250 0.750 0.500 F
```

* calculated density: 2.8 Mg/m³
* space-group type: No. 139

---

Stability ranking, top entry: Q; the second entry is 0.010 eV/atom less favorable.

---

P | Density functional theory data (PBE-GGA) for crystalline K2SnF4 at its relaxed geometry.

Cell and atoms, written as POSCAR:
```
K2SnF4
1.0
6.856 -0.561 -1.804
-3.732 5.778 -1.804
0.270 0.452 7.816
K Sn F
4 2 8
direct
0.485 0.585 0.541 K
0.044 0.945 0.459 K
0.195 0.794 0.959 K
0.835 0.235 0.041 K
0.737 0.237 0.500 Sn
0.487 0.487 0.000 Sn
0.551 0.766 0.900 F
0.016 0.301 0.400 F
0.012 0.332 0.785 F
0.582 0.762 0.285 F
0.477 0.298 0.715 F
0.866 0.651 0.100 F
0.901 0.616 0.600 F
0.548 0.227 0.215 F
```

* calculated density: 3.0 Mg/m³
* space-group type: No. 43

---

Q | Density functional theory data (PBE-GGA) for crystalline K2SnF4 at its relaxed geometry.

Cell and atoms, written as POSCAR:
```
K2SnF4
1.0
-0.534 2.672 -3.860
-4.243 1.388 1.547
0.522 7.304 2.091
K Sn F
2 1 4
direct
0.355 0.355 0.289 K
0.645 0.645 0.711 K
0.000 0.000 0.000 Sn
0.172 0.172 0.657 F
0.828 0.828 0.343 F
0.000 0.500 0.000 F
0.500 0.000 0.000 F
```

* calculated density: 3.0 Mg/m³
* space-group type: No. 139

---

Stability ranking, top entry: P; the second entry is 0.070 eV/atom less favorable.